[1]
Below is CuSb2I2 after structural relaxation, with properties calculated at the PBE level.

a = 7.2207 Å, b = 7.2207 Å, c = 5.9514 Å
α = 90.00°, β = 90.00°, γ = 90.00°
With the nearest neighbours (Å) after each atom.
Positions (direct):
Cu  0.0000  0.0000  0.0000  4 Sb 2.75
Cu  0.5000  0.5000  0.0000  4 Sb 2.75
Sb  0.1511  0.3489  0.0000  2 Cu 2.75, 2 I 3.00
Sb  0.3489  0.8489  0.0000  2 Cu 2.75, 2 I 3.00
Sb  0.6511  0.1511  0.0000  2 Cu 2.75, 2 I 3.00
Sb  0.8489  0.6511  0.0000  2 Cu 2.75, 2 I 3.00
I  0.1884  0.3116  0.5000  2 Sb 3.00
I  0.3116  0.8116  0.5000  2 Sb 3.00
I  0.6884  0.1884  0.5000  2 Sb 3.00
I  0.8116  0.6884  0.5000  2 Sb 3.00

Properties
energy relative to the elements, uncorrected: 93.0 meV per atom
mass density: 6.0 g cm⁻³
symmetry: P4/mbm (127)

[2]
Below is CuSbI6 after structural relaxation, with properties calculated at the PBE level.

a = 6.2191 Å, b = 7.6330 Å, c = 8.3998 Å
α = 71.76°, β = 72.87°, γ = 84.48°
With the nearest neighbours (Å) after each atom.
Positions (direct):
Cu  0.0000  0.0000  0.0000  4 I 2.55-2.64
Sb  0.5000  0.5000  0.0000  6 I 2.99-3.11
I  0.0708  0.6788  0.1892  1 Cu 2.55
I  0.2327  0.1334  0.1521  1 Cu 2.64
I  0.4775  0.6894  0.6358  1 Sb 2.99
I  0.5225  0.3106  0.3642  1 Sb 2.99
I  0.7673  0.8666  0.8479  1 Cu 2.64
I  0.9292  0.3212  0.8108  1 Cu 2.55

Properties
energy relative to the elements, uncorrected: -87.5 meV per atom
mass density: 4.3 g cm⁻³
symmetry: P-1 (2)

[3]
Below is CuSbI4 after structural relaxation, with properties calculated at the PBE level.

a = 9.0667 Å, b = 9.0667 Å, c = 11.5750 Å
α = 110.63°, β = 110.63°, γ = 40.55°
With the nearest neighbours (Å) after each atom.
Positions (direct):
Cu  0.0801  0.0801  0.0531  1 Cu 2.53, 3 I 2.60-2.66
Cu  0.9199  0.9199  0.9469  1 Cu 2.53, 3 I 2.60-2.66
Sb  0.2112  0.2112  0.8176  2 I 2.75-2.85
Sb  0.7888  0.7888  0.1824  2 I 2.75-2.85
I  0.0142  0.0142  0.8105  2 Cu 2.60-2.64
I  0.1599  0.1599  0.5626  1 Sb 2.75
I  0.2489  0.2489  0.1478  1 Cu 2.66
I  0.3907  0.3907  0.8888  1 Sb 2.85
I  0.6093  0.6093  0.1112  1 Sb 2.85
I  0.7511  0.7511  0.8522  1 Cu 2.66
I  0.8401  0.8401  0.4374  1 Sb 2.75
I  0.9858  0.9858  0.1895  2 Cu 2.60-2.64

Properties
energy relative to the elements, uncorrected: -187.0 meV per atom
mass density: 4.0 g cm⁻³
offset from the most stable computed form: 0.00 eV per formula unit
symmetry: C2/m (12)